(1)
A plane-wave DFT calculation with PBE-GGA was carried out for Sm4INCl4 after structural relaxation.

The calculation puts the final energy at -107.43 eV per cell.

The space group is C2/m (No. 12) and the conventional cell measures 17.211, 3.820 and 8.569 Å, with angles of 90.00, 105.47 and 90.00 degrees. The inequivalent atoms are Sm at (0.000, 0.000, 0.192), Sm at (0.145, 0.500, 0.079), I at (0.000, 0.500, 0.500), N at (0.000, 0.500, 0.000), Cl at (0.167, 0.000, 0.323) and Cl at (0.171, 0.000, 0.853).

***

(2)
A plane-wave DFT calculation with PBE-GGA was carried out for YFeHgB after structural relaxation.

The calculation puts the final energy at -73.35 eV per cell.

The space group is F-43m (No. 216) and the conventional cell measures 6.530, 6.530 and 6.530 Å, with angles of 90.00, 90.00 and 90.00 degrees. The inequivalent atoms are Y at (0.000, 0.000, 0.000), Fe at (0.250, 0.250, 0.750), Hg at (0.250, 0.250, 0.250) and B at (0.000, 0.000, 0.500).

***

(3)
A plane-wave DFT calculation with PBE-GGA was carried out for Nd2ErSn3Pd3 after structural relaxation.

The calculation puts the final energy at -99.80 eV per cell.

The space group is Amm2 (No. 38) and the conventional cell measures 4.088, 13.151 and 7.620 Å, with angles of 90.00, 90.00 and 90.00 degrees. The inequivalent atoms are Nd at (0.000, 0.206, 0.000), Er at (0.000, 0.000, 0.385), Sn at (0.500, 0.000, 0.048), Sn at (0.500, 0.126, 0.665), Pd at (0.000, 0.000, 0.788) and Pd at (0.500, 0.161, 0.297).

***

(4)
A plane-wave DFT calculation with PBE-GGA was carried out for LiCu2P after structural relaxation.

The calculation puts the final energy at -31.18 eV per cell.

The space group is P6_3/mmc (No. 194) and the conventional cell measures 4.1112, 4.1112 and 6.9786 Å, with angles of 90.00, 90.00 and 120.00 degrees. The inequivalent atoms are Li at (0.0000, 0.0000, 0.2500), Cu at (0.3333, 0.6667, 0.0763) and P at (0.3333, 0.6667, 0.7500).

***

(5)
A plane-wave DFT calculation with PBE-GGA was carried out for PrSmB2Pt2N2 after structural relaxation.

The calculation puts the final energy at -60.43 eV per cell.

The space group is P4mm (No. 99) and the conventional cell measures 3.801, 3.801 and 7.740 Å, with angles of 90.00, 90.00 and 90.00 degrees. The inequivalent atoms are Pr at (0.000, 0.000, 0.000), Sm at (0.500, 0.500, 0.672), B at (0.000, 0.000, 0.501), B at (0.500, 0.500, 0.169), Pt at (0.000, 0.500, 0.338), N at (0.000, 0.000, 0.687) and N at (0.500, 0.500, 0.983).

***

(6)
A plane-wave DFT calculation with PBE-GGA was carried out for HfAg3 after structural relaxation.

The calculation puts the final energy at -36.87 eV per cell. As for the formation energy: -0.002 eV per atom.

The space group is Pmmn (No. 59, origin choice 2) and the conventional cell measures 4.830, 6.020 and 5.012 Å, with angles of 90.00, 90.00 and 90.00 degrees. The inequivalent atoms are Hf at (0.250, 0.250, 0.159), Ag at (0.250, 0.501, 0.666) and Ag at (0.250, 0.750, 0.168).

***

(7)
A plane-wave DFT calculation with PBE-GGA was carried out for BaRePO after structural relaxation.

The calculation puts the final energy at -57.31 eV per cell.

The space group is P4/nmm (No. 129, origin choice 2) and the conventional cell measures 4.187, 4.187 and 10.024 Å, with angles of 90.00, 90.00 and 90.00 degrees. The inequivalent atoms are Ba at (0.250, 0.250, 0.138), Re at (0.250, 0.750, 0.500), P at (0.250, 0.250, 0.610) and O at (0.250, 0.750, 0.000).

***

(8)
A plane-wave DFT calculation with PBE-GGA was carried out for PaInNO after structural relaxation.

The calculation puts the final energy at -52.00 eV per cell.

The space group is P4/nmm (No. 129, origin choice 2) and the conventional cell measures 4.718, 4.718 and 11.847 Å, with angles of 90.00, 90.00 and 90.00 degrees. The inequivalent atoms are Pa at (0.250, 0.750, 0.000), In at (0.250, 0.250, 0.469), N at (0.250, 0.250, 0.024) and O at (0.250, 0.750, 0.500).